Computed, not measured: crystalline TiC2I at its relaxed geometry at the PBE level of DFT.

formation energy (no corrections): 2.22 eV per atom
SG: Fm-3m, No. 225
size of the total moment: 0.000 μB per atom

Cell lengths 5.9105, 5.9105, 5.9105 Å; angles 90.00, 90.00, 90.00 degrees
With the nearest neighbours (Å) after each atom.
Positions (direct):
Ti 0.0000 0.0000 0.0000  8 C 2.56
Ti 0.0000 0.5000 0.5000  8 C 2.56
Ti 0.5000 0.0000 0.5000  8 C 2.56
Ti 0.5000 0.5000 0.0000  8 C 2.56
C 0.2500 0.2500 0.2500  4 I 2.56, 4 Ti 2.56
C 0.2500 0.2500 0.7500  4 I 2.56, 4 Ti 2.56
C 0.2500 0.7500 0.2500  4 I 2.56, 4 Ti 2.56
C 0.2500 0.7500 0.7500  4 I 2.56, 4 Ti 2.56
C 0.7500 0.2500 0.2500  4 I 2.56, 4 Ti 2.56
C 0.7500 0.2500 0.7500  4 I 2.56, 4 Ti 2.56
C 0.7500 0.7500 0.2500  4 I 2.56, 4 Ti 2.56
C 0.7500 0.7500 0.7500  4 Ti 2.56, 4 I 2.56
I 0.0000 0.0000 0.5000  8 C 2.56
I 0.0000 0.5000 0.0000  8 C 2.56
I 0.5000 0.0000 0.0000  8 C 2.56
I 0.5000 0.5000 0.5000  8 C 2.56